1.
Here is a relaxed structure of TmFe3Tc3 from Alexandria. Energies are from PBE-GGA.

a = 6.360 Å, b = 6.360 Å, c = 6.360 Å
α = 90.00°, β = 90.00°, γ = 90.00°
Fractional coordinates of all 14 atoms:
Tm 0.500 0.500 0.500
Tm 0.000 0.000 0.000
Tc 0.000 0.250 0.500
Tc 0.000 0.750 0.500
Tc 0.500 0.000 0.750
Tc 0.750 0.500 0.000
Tc 0.500 0.000 0.250
Tc 0.250 0.500 0.000
Fe 0.250 0.000 0.500
Fe 0.000 0.500 0.250
Fe 0.500 0.750 0.000
Fe 0.750 0.000 0.500
Fe 0.000 0.500 0.750
Fe 0.500 0.250 0.000

Results
formation enthalpy at 0 K: 0.6831 eV/atom

---

2.
Here is a relaxed structure of AcCe2H from Alexandria. Energies are from PBE-GGA.

a = 3.393 Å, b = 3.393 Å, c = 8.681 Å
α = 90.00°, β = 90.00°, γ = 90.00°
Fractional coordinates of all 4 atoms:
H 0.500 0.500 0.000
Ac 0.500 0.500 0.500
Ce 0.000 0.000 0.843
Ce 0.000 0.000 0.157

Results
total energy: -4.68 eV per atom

---

3.
Here is a relaxed structure of LiLa2Tl from Alexandria. Energies are from PBE-GGA.

a = 4.674 Å, b = 3.696 Å, c = 7.944 Å
α = 62.26°, β = 90.00°, γ = 90.00°
Fractional coordinates of all 4 atoms:
Tl 0.500 0.750 0.750
La 0.000 0.015 0.985
La 0.000 0.485 0.515
Li 0.500 0.250 0.250

Results
formation enthalpy at 0 K: -0.1698 eV/atom

---

| no. | N(E_F) (states/eV per atom) |
| --- | --- |
| 1 | 1.565 |
| 2 | 2.272 |
| 3 | 1.143 |